Entry 1:
The following is a DFT calculation (PBE) of a relaxed AlCuAu crystal.

Values from the calculation:
- space-group type = F-43m, No. 216
- VASP energy (eV/atom) = -3.71
- crystal system = cubic
- excess energy over the best structure of this formula in the dataset (meV per atom) = 0.0

Structure (POSCAR):
```
AlCuAu
1.0
-1.843 -3.303 1.872
-4.206 -0.353 -0.006
-1.865 -2.980 -2.336
Al Cu Au
1 1 1
Direct
0.250 0.250 0.250 Al
0.750 0.750 0.750 Cu
0.000 0.000 0.000 Au
```

Entry 2:
The following is a DFT calculation (PBE) of a relaxed AlCuAu2 crystal.

Values from the calculation:
- space-group type = I4/mmm, No. 139
- VASP energy (eV/atom) = -3.76
- crystal system = tetragonal

Structure (POSCAR):
```
AlCuAu2
1.0
-1.939 -3.997 0.250
3.073 -1.815 -5.191
10.081 -4.421 7.512
Au Al Cu
12 6 6
Direct
0.000 0.750 0.833 Au
0.500 0.750 0.000 Au
0.500 0.250 0.000 Au
0.500 0.750 0.667 Au
0.000 0.250 0.833 Au
0.000 0.250 0.167 Au
0.500 0.250 0.667 Au
0.500 0.250 0.333 Au
0.000 0.750 0.167 Au
0.000 0.250 0.500 Au
0.000 0.750 0.500 Au
0.500 0.750 0.333 Au
0.999 0.000 0.333 Al
0.000 0.000 0.000 Al
0.001 0.000 0.667 Al
0.500 0.500 0.500 Al
0.501 0.500 0.833 Al
0.499 0.500 0.167 Al
0.000 0.500 0.000 Cu
0.500 0.000 0.833 Cu
0.000 0.500 0.333 Cu
0.500 0.000 0.167 Cu
0.500 0.000 0.500 Cu
0.000 0.500 0.667 Cu
```

Entry 3:
The following is a DFT calculation (PBE) of a relaxed Dy2TmAl3CuAu2 crystal.

Values from the calculation:
- spin magnetization (μB/f.u.) = 0.00
- space-group type = Amm2, No. 38
- VASP energy (eV/atom) = -4.61
- crystal system = orthorhombic

Structure (POSCAR):
```
Dy2TmAl3CuAu2
1.0
4.022 0.000 0.000
0.000 6.252 3.617
0.000 -6.252 3.617
Dy Au Tm Al Cu
2 2 1 3 1
Direct
0.000 0.592 0.000 Dy
0.000 0.000 0.592 Dy
0.500 0.335 0.663 Au
0.500 0.663 0.335 Au
0.000 0.405 0.405 Tm
0.500 0.770 0.770 Al
0.500 0.001 0.231 Al
0.500 0.231 0.001 Al
0.000 0.002 0.002 Cu
```

Entry 4:
The following is a DFT calculation (PBE) of a relaxed DyTm2Al3CuAu2 crystal.

Values from the calculation:
- spin magnetization (μB/f.u.) = 0.00
- space-group type = Amm2, No. 38
- VASP energy (eV/atom) = -4.60
- crystal system = orthorhombic

Structure (POSCAR):
```
DyTm2Al3CuAu2
1.0
3.963 0.000 0.000
0.000 6.281 3.616
0.000 -6.281 3.616
Dy Al Tm Cu Au
1 3 2 1 2
Direct
0.000 0.407 0.407 Dy
0.500 0.768 0.768 Al
0.500 0.232 0.999 Al
0.500 0.999 0.232 Al
0.000 0.000 0.594 Tm
0.000 0.594 0.000 Tm
0.000 0.999 0.999 Cu
0.500 0.332 0.668 Au
0.500 0.668 0.332 Au
```

Entry 5:
The following is a DFT calculation (PBE) of a relaxed Dy3Al2ZnCuAu2 crystal.

Values from the calculation:
- spin magnetization (μB/f.u.) = 0.01
- space-group type = Amm2, No. 38
- VASP energy (eV/atom) = -4.30
- crystal system = orthorhombic

Structure (POSCAR):
```
Dy3Al2ZnCuAu2
1.0
4.022 0.000 0.000
0.000 6.247 3.640
0.000 -6.247 3.640
Au Al Cu Zn Dy
2 2 1 1 3
Direct
0.500 0.667 0.325 Au
0.500 0.325 0.667 Au
0.500 0.003 0.231 Al
0.500 0.231 0.003 Al
0.000 0.009 0.009 Cu
0.500 0.766 0.766 Zn
0.000 0.995 0.594 Dy
0.000 0.594 0.995 Dy
0.000 0.411 0.411 Dy
```

Entry 6:
The following is a DFT calculation (PBE) of a relaxed Er3Al3CuGeAu crystal.

Values from the calculation:
- spin magnetization (μB/f.u.) = 0.01
- space-group type = P-6, No. 174
- VASP energy (eV/atom) = -4.74
- crystal system = hexagonal

Structure (POSCAR):
```
Er3Al3CuGeAu
1.0
7.043 0.000 0.000
-3.522 6.100 0.000
0.000 0.000 4.135
Er Au Al Cu Ge
3 1 3 1 1
Direct
0.665 0.925 0.000 Er
0.075 0.740 0.000 Er
0.260 0.335 0.000 Er
0.000 0.000 0.500 Au
0.897 0.326 0.500 Al
0.674 0.571 0.500 Al
0.429 0.103 0.500 Al
0.667 0.333 0.000 Cu
0.333 0.667 0.500 Ge
```

Entry 7:
The following is a DFT calculation (PBE) of a relaxed Er3MgAl2CuAu2 crystal.

Values from the calculation:
- spin magnetization (μB/f.u.) = 0.01
- space-group type = Amm2, No. 38
- VASP energy (eV/atom) = -4.31
- crystal system = orthorhombic

Structure (POSCAR):
```
Er3MgAl2CuAu2
1.0
-0.464 1.729 -3.610
-0.741 -6.535 -3.034
-5.917 3.421 2.398
Al Er Au Cu Mg
2 3 2 1 1
Direct
0.500 0.235 0.003 Al
0.500 0.003 0.235 Al
0.000 0.401 0.401 Er
0.000 0.002 0.588 Er
0.000 0.588 0.002 Er
0.500 0.666 0.328 Au
0.500 0.328 0.666 Au
0.000 0.013 0.013 Cu
0.500 0.763 0.763 Mg
```

Entry 8:
The following is a DFT calculation (PBE) of a relaxed Er2TmAl3CuAu2 crystal.

Values from the calculation:
- spin magnetization (μB/f.u.) = 0.01
- space-group type = Amm2, No. 38
- VASP energy (eV/atom) = -4.61
- crystal system = orthorhombic

Structure (POSCAR):
```
Er2TmAl3CuAu2
1.0
-2.717 -1.710 -2.303
4.922 -4.817 -2.232
-4.054 -1.411 5.830
Er Al Tm Au Cu
2 3 1 2 1
Direct
0.000 0.593 0.000 Er
0.000 0.000 0.593 Er
0.500 0.767 0.767 Al
0.500 0.233 0.000 Al
0.500 0.000 0.233 Al
0.000 0.406 0.406 Tm
0.500 0.666 0.334 Au
0.500 0.334 0.666 Au
0.000 0.000 0.000 Cu
```

> VASP energy of number 8 (Er2TmAl3CuAu2)?

-4.61 eV/atom

> What is the VASP energy in the seventh record?

-4.31 eV/atom

> Number 5 is which compound?

Dy3Al2ZnCuAu2